# La2CuSi

A crystal of La2CuSi relaxed with PBEsol (meta-GGA SCAN, the Alexandria database).

The calculation puts the raw formation energy at -0.5021 eV/atom. The space group is Amm2, No. 38.

POSCAR file:
```
La2CuSi
1.0
-1.711 3.688 -0.814
-1.932 -0.042 3.872
5.219 2.469 0.215
Si Cu La
1 1 2
direct
0.000 0.316 0.506
0.500 0.432 0.739
0.000 0.023 0.921
0.500 0.730 0.334
```

***

# Mg5Cu

A crystal of Mg5Cu relaxed with PBEsol (meta-GGA SCAN, the Alexandria database).

The space group is P4/mmm, No. 123. The calculation puts the energy above the most stable polymorph in this dataset at 0 meV/atom.

POSCAR file:
```
Mg5Cu
1.0
-1.192 -1.468 2.556
2.904 -0.108 1.291
-1.890 10.456 5.125
Mg Cu
5 1
direct
0.000 0.000 0.627
0.500 0.500 0.814
0.000 0.000 0.000
0.500 0.500 0.186
0.000 0.000 0.373
0.500 0.500 0.500
```

***

# Hf2TlTeO

A crystal of Hf2TlTeO relaxed with PBEsol (meta-GGA SCAN, the Alexandria database).

The calculation puts the raw formation energy at 1.5060 eV/atom. The space group is P4/mmm, No. 123.

POSCAR file:
```
Hf2TlTeO
1.0
5.187 0.000 0.000
0.000 5.187 0.000
0.000 0.000 5.853
Tl Te Hf O
1 1 2 1
direct
0.000 0.000 0.500
0.000 0.000 0.000
0.000 0.500 0.000
0.500 0.000 0.000
0.500 0.500 0.500
```

***

# Li2SiAg

A crystal of Li2SiAg relaxed with PBEsol (meta-GGA SCAN, the Alexandria database).

The calculation puts the raw formation energy at -0.1334 eV/atom. The space group is Pmmm, No. 47.

POSCAR file:
```
Li2SiAg
1.0
-2.090 1.122 -1.340
0.846 -2.252 -3.205
-3.215 -3.807 1.826
Si Ag Li
1 1 2
direct
0.500 0.500 0.000
0.500 0.500 0.500
0.000 0.000 0.765
0.000 0.000 0.235
```

***

# TiInHgBi2

A crystal of TiInHgBi2 relaxed with PBEsol (meta-GGA SCAN, the Alexandria database).

Its total energy is -54.791 eV/atom. The space group is P4/mmm, No. 123.

POSCAR file:
```
TiInHgBi2
1.0
5.319 0.000 0.000
0.000 5.319 0.000
0.000 0.000 5.344
In Ti Bi Hg
1 1 2 1
direct
0.500 0.500 0.500
0.000 0.000 0.000
0.000 0.500 0.000
0.500 0.000 0.000
0.000 0.000 0.500
```

***

# NiTe2H

A crystal of NiTe2H relaxed with PBEsol (meta-GGA SCAN, the Alexandria database).

Its total energy is -23.238 eV/atom. The space group is I-42d, No. 122.

POSCAR file:
```
NiTe2H
1.0
-0.567 2.219 4.937
-4.438 -3.033 0.854
5.494 -3.392 -0.844
Ni Te H
2 4 2
direct
0.250 0.750 0.500
0.000 0.000 0.000
0.398 0.875 0.250
0.852 0.375 0.250
0.125 0.148 0.750
0.625 0.602 0.750
0.750 0.250 0.500
0.500 0.500 0.000
```

***

# Cu3WN

A crystal of Cu3WN relaxed with PBEsol (meta-GGA SCAN, the Alexandria database).

The calculation puts the raw formation energy at 0.9709 eV/atom. The space group is Pm-3m, No. 221.

POSCAR file:
```
Cu3WN
1.0
3.855 0.000 0.000
0.000 3.855 0.000
0.000 0.000 3.855
Cu W N
3 1 1
direct
0.000 0.500 0.000
0.000 0.000 0.500
0.500 0.000 0.000
0.500 0.500 0.500
0.000 0.000 0.000
```

***

# FeMoW

A crystal of FeMoW relaxed with PBEsol (meta-GGA SCAN, the Alexandria database).

The space group is I4mm, No. 107. The calculation puts the energy above the most stable polymorph in this dataset at 151 meV/atom.

POSCAR file:
```
FeMoW
1.0
-2.475 -0.470 0.851
-0.720 -0.679 -2.468
3.024 -4.944 1.911
Fe Mo W
1 1 1
direct
0.001 0.001 0.001
0.652 0.652 0.303
0.348 0.348 0.696
```

***

# Ca3AuBr

A crystal of Ca3AuBr relaxed with PBEsol (meta-GGA SCAN, the Alexandria database).

The calculation puts the raw formation energy at -0.3894 eV/atom. The space group is Pm-3m, No. 221.

POSCAR file:
```
Ca3AuBr
1.0
5.365 0.000 0.000
0.000 5.365 0.000
0.000 0.000 5.365
Ca Au Br
3 1 1
direct
0.000 0.500 0.000
0.000 0.000 0.500
0.500 0.000 0.000
0.500 0.500 0.500
0.000 0.000 0.000
```

***

# CuHgMo2

A crystal of CuHgMo2 relaxed with PBEsol (meta-GGA SCAN, the Alexandria database).

Its total energy is -37.801 eV/atom. The space group is P4/mmm, No. 123.

POSCAR file:
```
CuHgMo2
1.0
-1.830 -2.314 1.562
2.786 -1.397 1.195
-0.296 3.319 4.570
Cu Hg Mo
1 1 2
direct
0.500 0.500 0.000
0.500 0.500 0.500
0.000 0.000 0.799
0.000 0.000 0.201
```

***

# ReTcP2

A crystal of ReTcP2 relaxed with PBEsol (meta-GGA SCAN, the Alexandria database).

The space group is I-42d, No. 122. The calculation puts the energy above the most stable polymorph in this dataset at 301 meV/atom.

POSCAR file:
```
ReTcP2
1.0
5.272 0.000 0.000
0.000 5.272 0.000
-2.636 -2.636 5.164
Re Tc P
2 2 4
direct
0.250 0.750 0.500
0.000 0.000 0.000
0.750 0.250 0.500
0.500 0.500 0.000
0.376 0.875 0.250
0.874 0.375 0.250
0.125 0.126 0.750
0.625 0.624 0.750
```

***

# SmSi2

A crystal of SmSi2 relaxed with PBEsol (meta-GGA SCAN, the Alexandria database).

The calculation puts the raw formation energy at -0.5759 eV/atom. The space group is I4_1/amd, No. 141.

POSCAR file:
```
SmSi2
1.0
4.016 0.002 -0.002
0.002 4.016 -0.002
-2.012 -2.012 7.215
Si Sm
4 2
direct
0.833 0.333 0.666
0.417 0.417 0.834
0.667 0.167 0.334
0.583 0.583 0.166
0.250 0.750 0.500
0.000 0.000 0.000
```

***

Copy entry 12 word for word.
# SmSi2

A crystal of SmSi2 relaxed with PBEsol (meta-GGA SCAN, the Alexandria database).

The calculation puts the raw formation energy at -0.5759 eV/atom. The space group is I4_1/amd, No. 141.

POSCAR file:
```
SmSi2
1.0
4.016 0.002 -0.002
0.002 4.016 -0.002
-2.012 -2.012 7.215
Si Sm
4 2
direct
0.833 0.333 0.666
0.417 0.417 0.834
0.667 0.167 0.334
0.583 0.583 0.166
0.250 0.750 0.500
0.000 0.000 0.000
```